# Ti3Ni12Ge

Crystalline Ti3Ni12Ge at its relaxed geometry (PBE, Alexandria via LeMat-Bulk).

Summary:
Spin magnetization, μB per atom: 0.000
Formation enthalpy at 0 K, meV/atom: -431
Crystal system: tetragonal

Cell: 3.601 3.601 14.391 Å, 90.00 90.00 90.00°
Space group P4/mmm (No. 123)
One atom of each set of equivalent atoms:
Ti  0.000  0.000  0.000
Ti  0.000  0.000  0.252
Ni  0.000  0.500  0.125
Ni  0.000  0.500  0.376
Ni  0.500  0.500  0.000
Ni  0.500  0.500  0.251
Ni  0.500  0.500  0.500
Ge  0.000  0.000  0.500

# LiSI2

Crystalline LiSI2 at its relaxed geometry (PBE, Alexandria via LeMat-Bulk).

Summary:
Spin magnetization, μB per atom: 0.000
ΔE_f (raw), meV/atom: -66
Crystal system: tetragonal

Cell: 5.775 5.775 16.929 Å, 90.00 90.00 90.00°
Space group I-42d (No. 122)
One atom of each set of equivalent atoms:
Li  0.000  0.000  0.000
S  0.000  0.000  0.500
I  0.222  0.250  0.625

# LaAgCl

Crystalline LaAgCl at its relaxed geometry (PBE, Alexandria via LeMat-Bulk).

Summary:
Spin magnetization, μB per atom: 0.001
ΔE_f (raw), meV/atom: -872
Crystal system: tetragonal

Cell: 3.585 3.585 13.948 Å, 90.00 90.00 90.00°
Space group I4mm (No. 107)
One atom of each set of equivalent atoms:
La  0.000  0.000  0.000
Ag  0.000  0.000  0.650
Cl  0.000  0.000  0.386

# K2NaHg6

Crystalline K2NaHg6 at its relaxed geometry (PBE, Alexandria via LeMat-Bulk).

Summary:
Spin magnetization, μB per atom: 0.000
Formation enthalpy at 0 K, meV/atom: -239
Crystal system: hexagonal

Cell: 9.3055 9.3055 3.5975 Å, 90.00 90.00 120.00°
Space group P6/mmm (No. 191)
One atom of each set of equivalent atoms:
K  0.3333  0.6667  0.0000
Na  0.0000  0.0000  0.0000
Hg  0.0000  0.3266  0.5000

# AcTlAu4

Crystalline AcTlAu4 at its relaxed geometry (PBE, Alexandria via LeMat-Bulk).

Summary:
Spin magnetization, μB per atom: 0.000
Formation enthalpy at 0 K, meV/atom: -449
Crystal system: cubic

Cell: 8.213 8.213 8.213 Å, 90.00 90.00 90.00°
Space group F-43m (No. 216)
One atom of each set of equivalent atoms:
Ac  0.000  0.000  0.000
Tl  0.250  0.250  0.250
Au  0.124  0.124  0.624

# MgCuPd6

Crystalline MgCuPd6 at its relaxed geometry (PBE, Alexandria via LeMat-Bulk).

Summary:
Spin magnetization, μB per atom: 0.000
Formation enthalpy at 0 K, meV/atom: -256
Crystal system: tetragonal

Cell: 3.930 3.930 7.881 Å, 90.00 90.00 90.00°
Space group P4/mmm (No. 123)
One atom of each set of equivalent atoms:
Mg  0.000  0.000  0.000
Cu  0.000  0.000  0.500
Pd  0.000  0.500  0.256
Pd  0.500  0.500  0.000
Pd  0.500  0.500  0.500

# TaAsIr

Crystalline TaAsIr at its relaxed geometry (PBE, Alexandria via LeMat-Bulk).

Summary:
Spin magnetization, μB per atom: 0.000
Formation enthalpy at 0 K, meV/atom: -113
Crystal system: monoclinic

Cell: 4.617 4.618 10.323 Å, 90.00 102.86 90.00°
Space group C2/m (No. 12)
One atom of each set of equivalent atoms:
Ta  0.134  0.000  0.267
As  0.201  0.500  0.401
Ir  0.064  0.500  0.124

# Al2TeIrSe

Crystalline Al2TeIrSe at its relaxed geometry (PBE, Alexandria via LeMat-Bulk).

Summary:
Spin magnetization, μB per atom: 0.133
ΔE_f (raw), meV/atom: 1083
Crystal system: tetragonal

Cell: 5.347 5.347 4.867 Å, 90.00 90.00 90.00°
Space group P4/mmm (No. 123)
One atom of each set of equivalent atoms:
Al  0.000  0.500  0.000
Te  0.000  0.000  0.000
Ir  0.000  0.000  0.500
Se  0.500  0.500  0.500

# MgNi2Ge2

Crystalline MgNi2Ge2 at its relaxed geometry (PBE, Alexandria via LeMat-Bulk).

Summary:
Spin magnetization, μB per atom: 0.000
Formation enthalpy at 0 K, meV/atom: -130
Crystal system: tetragonal

Cell: 7.187 7.187 2.826 Å, 90.00 90.00 90.00°
Space group P4/mbm (No. 127)
One atom of each set of equivalent atoms:
Mg  0.000  0.000  0.000
Ni  0.149  0.351  0.500
Ge  0.144  0.644  0.000

# Pr6TmPb

Crystalline Pr6TmPb at its relaxed geometry (PBE, Alexandria via LeMat-Bulk).

Summary:
Spin magnetization, μB per atom: 0.000
Formation enthalpy at 0 K, meV/atom: -148
Crystal system: tetragonal

Cell: 5.069 5.069 10.418 Å, 90.00 90.00 90.00°
Space group P4/mmm (No. 123)
One atom of each set of equivalent atoms:
Pr  0.000  0.000  0.000
Pr  0.000  0.000  0.500
Pr  0.000  0.500  0.245
Tm  0.500  0.500  0.500
Pb  0.500  0.500  0.000

# Rb3ICl6

Crystalline Rb3ICl6 at its relaxed geometry (PBE, Alexandria via LeMat-Bulk).

Summary:
Spin magnetization, μB per atom: 0.023
ΔE_f (raw), meV/atom: -1258
Crystal system: monoclinic

Cell: 5.270 8.703 17.685 Å, 90.00 106.27 90.00°
Space group P2_1/c (No. 14)
One atom of each set of equivalent atoms:
Rb  0.000  0.000  0.000
Rb  0.189  0.171  0.735
I  0.500  0.000  0.500
Cl  0.100  0.127  0.407
Cl  0.242  0.523  0.688
Cl  0.403  0.749  0.424

# Ba6N3Cl

Crystalline Ba6N3Cl at its relaxed geometry (PBE, Alexandria via LeMat-Bulk).

Summary:
Spin magnetization, μB per atom: 0.046
ΔE_f (raw), meV/atom: -711
Crystal system: monoclinic

Cell: 11.317 4.022 15.051 Å, 90.00 107.64 90.00°
Space group P2_1/m (No. 11)
One atom of each set of equivalent atoms:
Ba  0.009  0.250  0.280
Ba  0.148  0.250  0.548
Ba  0.191  0.750  0.117
Ba  0.306  0.750  0.383
Ba  0.365  0.750  0.929
Ba  0.482  0.250  0.230
N  0.079  0.750  0.414
N  0.238  0.250  0.245
N  0.466  0.750  0.107
Cl  0.113  0.250  0.922

# Rb2Li3ReF12

Crystalline Rb2Li3ReF12 at its relaxed geometry (PBE, Alexandria via LeMat-Bulk).

Summary:
Spin magnetization, μB per atom: 0.152
ΔE_f (raw), meV/atom: -2283
Crystal system: trigonal

Cell: 7.1328 7.1328 19.9851 Å, 90.00 90.00 120.00°
Space group R-3m (No. 166, hexagonal axes)
One atom of each set of equivalent atoms:
Rb  0.0000  0.0000  0.0872
Li  0.0000  0.5000  0.0000
Re  0.0000  0.0000  0.5000
F  0.0699  0.5350  0.3566
F  0.0794  0.5397  0.1143

# BaY2Zn2

Crystalline BaY2Zn2 at its relaxed geometry (PBE, Alexandria via LeMat-Bulk).

Summary:
Spin magnetization, μB per atom: 0.000
Formation enthalpy at 0 K, meV/atom: -56
Crystal system: tetragonal

Cell: 8.602 8.602 3.851 Å, 90.00 90.00 90.00°
Space group P4/mbm (No. 127)
One atom of each set of equivalent atoms:
Ba  0.000  0.000  0.000
Y  0.158  0.342  0.500
Zn  0.129  0.629  0.000

# NdCd2Cu2

Crystalline NdCd2Cu2 at its relaxed geometry (PBE, Alexandria via LeMat-Bulk).

Summary:
Spin magnetization, μB per atom: 0.000
Formation enthalpy at 0 K, meV/atom: -186
Crystal system: monoclinic

Cell: 10.237 4.063 5.222 Å, 90.00 103.90 90.00°
Space group C2/m (No. 12)
One atom of each set of equivalent atoms:
Nd  0.000  0.000  0.000
Cd  0.145  0.500  0.570
Cu  0.222  0.500  0.114

# TaInRu2

Crystalline TaInRu2 at its relaxed geometry (PBE, Alexandria via LeMat-Bulk).

Summary:
Spin magnetization, μB per atom: 0.272
Formation enthalpy at 0 K, meV/atom: 352
Crystal system: cubic

Cell: 6.442 6.442 6.442 Å, 90.00 90.00 90.00°
Space group F-43m (No. 216)
One atom of each set of equivalent atoms:
Ta  0.000  0.000  0.000
In  0.250  0.250  0.250
Ru  0.000  0.000  0.500
Ru  0.250  0.250  0.750

# Na3Dy2ScTe6

Crystalline Na3Dy2ScTe6 at its relaxed geometry (PBE, Alexandria via LeMat-Bulk).

Summary:
Spin magnetization, μB per atom: 0.000
ΔE_f (raw), meV/atom: -1269
Crystal system: monoclinic

Cell: 7.563 13.103 7.962 Å, 90.00 108.50 90.00°
Space group C2/m (No. 12)
One atom of each set of equivalent atoms:
Na  0.000  0.000  0.000
Na  0.000  0.330  0.000
Dy  0.000  0.166  0.500
Sc  0.000  0.500  0.500
Te  0.237  0.339  0.728
Te  0.246  0.500  0.272

# InCBr2

Crystalline InCBr2 at its relaxed geometry (PBE, Alexandria via LeMat-Bulk).

Summary:
Spin magnetization, μB per atom: 0.187
ΔE_f (raw), meV/atom: 1027
Crystal system: tetragonal

Cell: 7.007 7.007 9.976 Å, 90.00 90.00 90.00°
Space group I4_1/amd (No. 141, origin choice 2)
One atom of each set of equivalent atoms:
In  0.000  0.250  0.375
C  0.000  0.250  0.875
Br  0.000  0.000  0.000

# Al2Tl

Crystalline Al2Tl at its relaxed geometry (PBE, Alexandria via LeMat-Bulk).

Summary:
Spin magnetization, μB per atom: 0.000
Formation enthalpy at 0 K, meV/atom: 273
Crystal system: hexagonal

Cell: 4.5783 4.5783 7.6940 Å, 90.00 90.00 120.00°
Space group P6_3/mmc (No. 194)
One atom of each set of equivalent atoms:
Al  0.3333  0.6667  0.0507
Tl  0.0000  0.0000  0.2500

# DySc3Ge3

Crystalline DySc3Ge3 at its relaxed geometry (PBE, Alexandria via LeMat-Bulk).

Summary:
Spin magnetization, μB per atom: 0.000
Formation enthalpy at 0 K, meV/atom: -636
Crystal system: trigonal

Cell: 8.3378 8.3378 16.6658 Å, 90.00 90.00 120.00°
Space group R-3 (No. 148, hexagonal axes)
One atom of each set of equivalent atoms:
Dy  0.0000  0.0000  0.1678
Sc  0.0064  0.7186  0.5951
Ge  0.0037  0.6422  0.4238

# Rb2MoCl8

Crystalline Rb2MoCl8 at its relaxed geometry (PBE, Alexandria via LeMat-Bulk).

Summary:
Spin magnetization, μB per atom: 0.010
ΔE_f (raw), meV/atom: -1103
Crystal system: monoclinic

Cell: 12.348 10.276 6.449 Å, 90.00 93.23 90.00°
Space group C2/m (No. 12)
One atom of each set of equivalent atoms:
Rb  0.130  0.000  0.267
Mo  0.000  0.500  0.500
Cl  0.095  0.500  0.821
Cl  0.116  0.342  0.383
Cl  0.131  0.000  0.766

# Rb2In2AgSe4

Crystalline Rb2In2AgSe4 at its relaxed geometry (PBE, Alexandria via LeMat-Bulk).

Summary:
Spin magnetization, μB per atom: 0.000
ΔE_f (raw), meV/atom: -640
Crystal system: monoclinic

Cell: 14.918 4.885 7.751 Å, 90.00 104.22 90.00°
Space group C2/m (No. 12)
One atom of each set of equivalent atoms:
Rb  0.129  0.000  0.068
In  0.144  0.500  0.538
Ag  0.000  0.000  0.500
Se  0.001  0.500  0.743
Se  0.208  0.000  0.674

# KLiBe2

Crystalline KLiBe2 at its relaxed geometry (PBE, Alexandria via LeMat-Bulk).

Summary:
Spin magnetization, μB per atom: 0.000
Formation enthalpy at 0 K, meV/atom: 223
Crystal system: triclinic

Cell: 3.731 4.301 12.257 Å, 90.09 98.68 90.00°
Space group P1 (No. 1)
One atom of each set of equivalent atoms:
K  0.000  0.000  0.000
K  0.345  0.503  0.690
Li  0.593  0.501  0.188
Li  0.752  0.003  0.502
Be  0.173  0.253  0.345
Be  0.173  0.753  0.345
Be  0.659  0.003  0.318
Be  0.686  0.503  0.372